(1)
# PuTaTi | Alexandria | PBE-GGA | relaxed
# Spin magnetization (μB per atom): 1.506
# DFT formation energy (kJ per mole of atoms): 26.3
# Space-group type: No. 160
data_PuTaTi
_chemical_formula_sum 'Pu1 Ta1 Ti1'
_symmetry_space_group_name_H-M 'P 1'
_symmetry_Int_Tables_number 1
_cell_length_a 2.9663
_cell_length_b 2.9663
_cell_length_c 7.7939
_cell_angle_alpha 79.03
_cell_angle_beta 79.03
_cell_angle_gamma 60.00
loop_
_symmetry_equiv_pos_as_xyz
'x,y,z'
loop_
_atom_site_label
_atom_site_type_symbol
_atom_site_fract_x
_atom_site_fract_y
_atom_site_fract_z
Ti1 Ti 0.3255 0.3255 0.0234
Ta1 Ta 0.5552 0.5552 0.3344
Pu1 Pu 0.1046 0.1046 0.6861

---

(2)
# PuTaTi | Alexandria | PBE-GGA | relaxed
# Spin magnetization (μB per atom): 1.538
# DFT formation energy (kJ per mole of atoms): 17.9
# Space-group type: No. 187
data_PuTaTi
_chemical_formula_sum 'Pu1 Ta1 Ti1'
_symmetry_space_group_name_H-M 'P 1'
_symmetry_Int_Tables_number 1
_cell_length_a 2.9182
_cell_length_b 4.7665
_cell_length_c 4.7665
_cell_angle_alpha 120.00
_cell_angle_beta 90.00
_cell_angle_gamma 90.00
loop_
_symmetry_equiv_pos_as_xyz
'x,y,z'
loop_
_atom_site_label
_atom_site_type_symbol
_atom_site_fract_x
_atom_site_fract_y
_atom_site_fract_z
Ta1 Ta 0.0001 0.0000 0.0000
Ti1 Ti 0.5001 0.3333 0.6667
Pu1 Pu 0.4998 0.6667 0.3333

---

(3)
# PuTa2Ti6 | Alexandria | PBE-GGA | relaxed
# Spin magnetization (μB per atom): 0.449
# DFT formation energy (kJ per mole of atoms): 10.3
# Space-group type: No. 10
data_PuTa2Ti6
_chemical_formula_sum 'Pu1 Ta2 Ti6'
_symmetry_space_group_name_H-M 'P 1'
_symmetry_Int_Tables_number 1
_cell_length_a 2.8432
_cell_length_b 8.0405
_cell_length_c 7.2720
_cell_angle_alpha 77.58
_cell_angle_beta 90.00
_cell_angle_gamma 90.00
loop_
_symmetry_equiv_pos_as_xyz
'x,y,z'
loop_
_atom_site_label
_atom_site_type_symbol
_atom_site_fract_x
_atom_site_fract_y
_atom_site_fract_z
Pu1 Pu 0.0000 0.0000 0.0000
Ta1 Ta 0.5000 0.7710 0.3576
Ta2 Ta 0.5000 0.2290 0.6424
Ti1 Ti 0.0000 0.4587 0.3206
Ti2 Ti 0.0000 0.8915 0.6663
Ti3 Ti 0.0000 0.5413 0.6794
Ti4 Ti 0.5000 0.3351 0.9994
Ti5 Ti 0.0000 0.1085 0.3337
Ti6 Ti 0.5000 0.6649 0.0006

---

(4)
# PuTaTiW | Alexandria | PBE-GGA | relaxed
# Spin magnetization (μB per atom): 1.052
# DFT formation energy (kJ per mole of atoms): 21.8
# Space-group type: No. 216
data_PuTaTiW
_chemical_formula_sum 'Pu1 Ta1 Ti1 W1'
_symmetry_space_group_name_H-M 'P 1'
_symmetry_Int_Tables_number 1
_cell_length_a 4.6810
_cell_length_b 4.6810
_cell_length_c 4.6810
_cell_angle_alpha 60.00
_cell_angle_beta 60.00
_cell_angle_gamma 60.00
loop_
_symmetry_equiv_pos_as_xyz
'x,y,z'
loop_
_atom_site_label
_atom_site_type_symbol
_atom_site_fract_x
_atom_site_fract_y
_atom_site_fract_z
Ta1 Ta 0.2500 0.2500 0.2500
Ti1 Ti 0.7500 0.7500 0.7500
W1 W 0.0000 0.0000 0.0000
Pu1 Pu 0.5000 0.5000 0.5000

---

(5)
# Pu2TaV | Alexandria | PBE-GGA | relaxed
# Spin magnetization (μB per atom): 2.188
# DFT formation energy (kJ per mole of atoms): 61.2
# Space-group type: No. 166
data_Pu2TaV
_chemical_formula_sum 'Pu2 Ta1 V1'
_symmetry_space_group_name_H-M 'P 1'
_symmetry_Int_Tables_number 1
_cell_length_a 2.9160
_cell_length_b 2.9160
_cell_length_c 10.7965
_cell_angle_alpha 82.24
_cell_angle_beta 82.24
_cell_angle_gamma 60.00
loop_
_symmetry_equiv_pos_as_xyz
'x,y,z'
loop_
_atom_site_label
_atom_site_type_symbol
_atom_site_fract_x
_atom_site_fract_y
_atom_site_fract_z
V1 V 0.5000 0.5000 0.5000
Ta1 Ta 0.0000 0.0000 0.0000
Pu1 Pu 0.0908 0.0908 0.7276
Pu2 Pu 0.9092 0.9092 0.2724

---

(6)
# PuTa2V | Alexandria | PBE-GGA | relaxed
# Spin magnetization (μB per atom): 0.902
# DFT formation energy (kJ per mole of atoms): 51.2
# Space-group type: No. 166
data_PuTa2V
_chemical_formula_sum 'Pu1 Ta2 V1'
_symmetry_space_group_name_H-M 'P 1'
_symmetry_Int_Tables_number 1
_cell_length_a 2.8924
_cell_length_b 2.8924
_cell_length_c 10.6028
_cell_angle_alpha 82.16
_cell_angle_beta 82.16
_cell_angle_gamma 60.00
loop_
_symmetry_equiv_pos_as_xyz
'x,y,z'
loop_
_atom_site_label
_atom_site_type_symbol
_atom_site_fract_x
_atom_site_fract_y
_atom_site_fract_z
V1 V 0.5000 0.5000 0.5000
Ta1 Ta 0.0932 0.0932 0.7203
Ta2 Ta 0.9068 0.9068 0.2797
Pu1 Pu 0.0000 0.0000 0.0000

---

- Which of these has the highest DFT formation energy?
  Pu2TaV